(1)
This record from Alexandria via LeMat-Bulk describes a geometry-optimized UV2Tc structure. The functional is PBE.

As for the total energy: -0.362 Ha/atom. For the formation energy, the calculation gives 0.13 eV per atom. For the energy above the lowest structure with this stoichiometry, the calculation gives 0.071 eV per atom. The magnetic moment is 0.0 μB/f.u. As for the density of states at the Fermi level: 5.6 states/eV/f.u.

a = 3.1674 Å, b = 3.1674 Å, c = 6.1594 Å
α = 90.00°, β = 90.00°, γ = 90.00°
Space group P4/mmm (No. 123)
Inequivalent atoms, fractional coordinates:
U (0.0000, 0.0000, 0.0000)
V (0.5000, 0.5000, 0.2557)
Tc (0.0000, 0.0000, 0.5000)

(2)
This record from Alexandria via LeMat-Bulk describes a geometry-optimized TbScCu2Ge2 structure. The functional is PBE.

As for the total energy: -0.198 Ha/atom. For the formation energy, the calculation gives -0.66 eV per atom. The magnetic moment is 0.0 μB/f.u. As for the density of states at the Fermi level: 2.7 states/eV/f.u.

a = 4.2112 Å, b = 4.2112 Å, c = 7.0252 Å
α = 90.00°, β = 90.00°, γ = 120.00°
Space group P-3m1 (No. 164)
Inequivalent atoms, fractional coordinates:
Tb (0.0000, 0.0000, 0.0000)
Sc (0.0000, 0.0000, 0.5000)
Cu (0.3333, 0.6667, 0.7082)
Ge (0.3333, 0.6667, 0.2653)

(3)
This record from Alexandria via LeMat-Bulk describes a geometry-optimized DyBeCu6Si structure. The functional is PBE.

As for the total energy: -0.160 Ha/atom. The magnetic moment is 0.0 μB/f.u. As for the density of states at the Fermi level: 2.6 states/eV/f.u.

a = 4.9691 Å, b = 7.9159 Å, c = 13.0753 Å
α = 90.00°, β = 90.00°, γ = 90.00°
Space group Imma (No. 74)
Inequivalent atoms, fractional coordinates:
Dy (0.0000, 0.2500, 0.0064)
Be (0.2500, 0.2500, 0.7500)
Cu (0.0000, 0.2500, 0.2470)
Cu (0.0000, 0.2500, 0.6053)
Cu (0.2459, 0.0073, 0.1567)
Si (0.0000, 0.0000, 0.5000)

(4)
This record from Alexandria via LeMat-Bulk describes a geometry-optimized CuH8Pd6 structure. The functional is PBE.

As for the total energy: -0.153 Ha/atom. For the energy above the lowest structure with this stoichiometry, the calculation gives 0.000 eV per atom. The magnetic moment is 0.0 μB/f.u. As for the density of states at the Fermi level: 3.8 states/eV/f.u.

a = 7.9488 Å, b = 7.9488 Å, c = 7.2039 Å
α = 90.00°, β = 90.00°, γ = 120.00°
Space group R-3 (No. 148, hexagonal axes)
Inequivalent atoms, fractional coordinates:
Cu (0.0000, 0.0000, 0.0000)
H (0.0000, 0.0000, 0.2547)
H (0.0231, 0.4233, 0.8082)
Pd (0.0476, 0.2427, 0.6692)

The records above give, respectively, theoretical density values of 11.77 7.33 7.50 8.97 g/cm3.